# CsAlOsO6 PBE relaxed
data_CsAlOsO6
_chemical_formula_sum 'Cs1 Al1 Os1 O6'
_cell_length_a 5.117
_cell_length_b 5.117
_cell_length_c 6.722
_cell_angle_alpha 90.00
_cell_angle_beta 90.00
_cell_angle_gamma 120.00
_symmetry_space_group_name_H-M 'P 1'
_symmetry_Int_Tables_number 1
_symmetry_space_group_name_Hall 'P 1'
loop_
_atom_site_label
_atom_site_fract_x
_atom_site_fract_y
_atom_site_fract_z
_atom_site_occupancy
Cs1 0.000 0.000 0.000 1
Al1 0.333 0.667 0.500 1
Os1 0.667 0.333 0.500 1
O1 0.402 0.007 0.660 1
O2 0.402 0.395 0.340 1
O3 0.605 0.007 0.340 1
O4 0.605 0.598 0.660 1
O5 0.993 0.395 0.660 1
O6 0.993 0.598 0.340 1
# V: 152.4 Å³/cell
# crystal system: trigonal
# raw formation energy: -155 kJ/mol of atoms